1.
! LiB2H4, optimized geometry, DFT PBE-GGA; values from VASP
&SYSTEM
  ibrav = 0, nat = 7, ntyp = 3
/
ATOMIC_SPECIES
Li 6.94 Li.upf
B 10.81 B.upf
H 1.01 H.upf
CELL_PARAMETERS angstrom
5.259 -2.109 0.000
5.259 2.109 0.000
-0.012 0.000 2.475
ATOMIC_POSITIONS crystal
Li 0.000 0.000 0.000
B 0.436 0.436 0.255
B 0.564 0.564 0.745
H 0.136 0.597 0.257
H 0.403 0.864 0.743
H 0.597 0.136 0.257
H 0.864 0.403 0.743
! * V: 55 Å³ per cell
! * crystal system: monoclinic
! * SG: C2/m, No. 12
! * D(E_F): 0.1993 states/eV/atom
! * E: -29.6 eV per cell



2.
! Ce2TlIrAu, optimized geometry, DFT PBE-GGA; values from VASP
&SYSTEM
  ibrav = 0, nat = 10, ntyp = 4
/
ATOMIC_SPECIES
Ce 140.12 Ce.upf
Tl 204.38 Tl.upf
Ir 192.22 Ir.upf
Au 196.97 Au.upf
CELL_PARAMETERS angstrom
8.121 0.000 0.000
0.000 4.016 0.000
-3.103 0.000 7.730
ATOMIC_POSITIONS crystal
Ce 0.133 0.250 0.348
Ce 0.297 0.250 0.010
Ce 0.703 0.750 0.990
Ce 0.867 0.750 0.652
Tl 0.291 0.750 0.688
Tl 0.709 0.250 0.312
Ir 0.111 0.750 0.105
Ir 0.889 0.250 0.895
Au 0.455 0.750 0.355
Au 0.545 0.250 0.645
! * V: 252 Å³ per cell
! * crystal system: monoclinic
! * formation enthalpy at 0 K: -0.509 eV per atom
! * SG: P2_1/m, No. 11
! * D(E_F): 1.8918 states/eV/atom
! * E: -57.8 eV per cell



3.
! Np2AlS6, optimized geometry, DFT PBE-GGA; values from VASP
&SYSTEM
  ibrav = 0, nat = 18, ntyp = 3
/
ATOMIC_SPECIES
Np 237.00 Np.upf
Al 26.98 Al.upf
S 32.06 S.upf
CELL_PARAMETERS angstrom
6.023 0.000 0.000
0.000 6.023 0.000
0.000 0.000 11.760
ATOMIC_POSITIONS crystal
Np 0.000 0.000 0.169
Np 0.000 0.000 0.831
Np 0.500 0.500 0.331
Np 0.500 0.500 0.669
Al 0.000 0.000 0.500
Al 0.500 0.500 0.000
S 0.189 0.189 0.348
S 0.189 0.189 0.652
S 0.203 0.203 0.000
S 0.297 0.703 0.500
S 0.311 0.689 0.152
S 0.311 0.689 0.848
S 0.689 0.311 0.152
S 0.689 0.311 0.848
S 0.703 0.297 0.500
S 0.797 0.797 0.000
S 0.811 0.811 0.348
S 0.811 0.811 0.652
! * V: 427 Å³ per cell
! * crystal system: tetragonal
! * SG: P4_2/mnm, No. 136
! * D(E_F): 1.9366 states/eV/atom
! * E: -126.6 eV per cell



4.
! Tb6MgPt, optimized geometry, DFT PBE-GGA; values from VASP
&SYSTEM
  ibrav = 0, nat = 8, ntyp = 3
/
ATOMIC_SPECIES
Tb 158.93 Tb.upf
Mg 24.30 Mg.upf
Pt 195.08 Pt.upf
CELL_PARAMETERS angstrom
7.092 0.000 0.000
-3.536 6.155 0.000
-3.529 -2.051 6.021
ATOMIC_POSITIONS crystal
Tb 0.037 0.069 0.254
Tb 0.285 0.716 0.254
Tb 0.313 0.530 0.746
Tb 0.687 0.470 0.254
Tb 0.715 0.284 0.746
Tb 0.963 0.931 0.746
Mg 0.500 0.000 0.000
Pt 0.500 0.500 0.500
! * V: 263 Å³ per cell
! * crystal system: triclinic
! * formation enthalpy at 0 K: -0.037 eV per atom
! * SG: P-1, No. 2
! * D(E_F): 1.5061 states/eV/atom
! * E: -35.7 eV per cell



5.
! ZrSiW2, optimized geometry, DFT PBE-GGA; values from VASP
&SYSTEM
  ibrav = 0, nat = 4, ntyp = 3
/
ATOMIC_SPECIES
Zr 91.22 Zr.upf
Si 28.09 Si.upf
W 183.84 W.upf
CELL_PARAMETERS angstrom
4.681 -1.620 0.000
4.681 1.620 0.000
-1.216 0.000 4.475
ATOMIC_POSITIONS crystal
Zr 0.000 0.000 0.000
Si 0.500 0.500 0.500
W 0.238 0.238 0.715
W 0.762 0.762 0.285
! * V: 68 Å³ per cell
! * crystal system: monoclinic
! * SG: C2/m, No. 12
! * D(E_F): 0.6080 states/eV/atom
! * E: -39.9 eV per cell



6.
! NaYV2, optimized geometry, DFT PBE-GGA; values from VASP
&SYSTEM
  ibrav = 0, nat = 4, ntyp = 3
/
ATOMIC_SPECIES
Na 22.99 Na.upf
Y 88.91 Y.upf
V 50.94 V.upf
CELL_PARAMETERS angstrom
0.000 3.614 3.614
3.614 0.000 3.614
3.614 3.614 0.000
ATOMIC_POSITIONS crystal
Na 0.000 0.000 0.000
Y 0.500 0.500 0.500
V 0.250 0.250 0.250
V 0.750 0.750 0.750
! * E above lowest polymorph: 0 meV per atom
! * V: 94 Å³ per cell
! * crystal system: cubic
! * formation enthalpy at 0 K: 1.018 eV per atom
! * SG: Fm-3m, No. 225
! * D(E_F): 2.1261 states/eV/atom
! * E: -21.9 eV per cell



7.
! Mg2AsOs, optimized geometry, DFT PBE-GGA; values from VASP
&SYSTEM
  ibrav = 0, nat = 4, ntyp = 3
/
ATOMIC_SPECIES
Mg 24.30 Mg.upf
As 74.92 As.upf
Os 190.23 Os.upf
CELL_PARAMETERS angstrom
-1.945 1.945 4.276
1.945 -1.945 4.276
1.945 1.945 -4.276
ATOMIC_POSITIONS crystal
Mg 0.250 0.750 0.500
Mg 0.750 0.250 0.500
As 0.000 0.000 0.000
Os 0.500 0.500 0.000
! * V: 65 Å³ per cell
! * crystal system: tetragonal
! * formation enthalpy at 0 K: 0.129 eV per atom
! * SG: I4/mmm, No. 139
! * D(E_F): 0.5368 states/eV/atom
! * E: -18.6 eV per cell



8.
! PaGa2SnO8, optimized geometry, DFT PBE-GGA; values from VASP
&SYSTEM
  ibrav = 0, nat = 12, ntyp = 4
/
ATOMIC_SPECIES
Pa 231.04 Pa.upf
Ga 69.72 Ga.upf
Sn 118.71 Sn.upf
O 16.00 O.upf
CELL_PARAMETERS angstrom
-3.383 3.383 3.392
3.383 -3.383 3.392
3.383 3.383 -3.392
ATOMIC_POSITIONS crystal
Pa 0.000 0.000 0.000
Ga 0.500 0.500 0.000
Ga 0.750 0.250 0.500
Sn 0.250 0.750 0.500
O 0.304 0.110 0.806
O 0.304 0.498 0.194
O 0.367 0.054 0.313
O 0.502 0.696 0.806
O 0.740 0.054 0.687
O 0.890 0.696 0.194
O 0.946 0.260 0.313
O 0.946 0.633 0.687
! * V: 155 Å³ per cell
! * crystal system: tetragonal
! * SG: I-4m2, No. 119
! * D(E_F): 0.8437 states/eV/atom
! * E: -83.5 eV per cell



9.
! TaPRuS2, optimized geometry, DFT PBE-GGA; values from VASP
&SYSTEM
  ibrav = 0, nat = 5, ntyp = 4
/
ATOMIC_SPECIES
Ta 180.95 Ta.upf
P 30.97 P.upf
Ru 101.07 Ru.upf
S 32.06 S.upf
CELL_PARAMETERS angstrom
4.610 0.000 0.000
0.000 4.610 0.000
0.000 0.000 4.398
ATOMIC_POSITIONS crystal
Ta 0.000 0.000 0.000
P 0.500 0.500 0.000
Ru 0.500 0.500 0.500
S 0.000 0.500 0.500
S 0.500 0.000 0.500
! * E above lowest polymorph: 199 meV per atom
! * V: 93 Å³ per cell
! * crystal system: tetragonal
! * SG: P4/mmm, No. 123
! * D(E_F): 1.1014 states/eV/atom
! * E: -30.6 eV per cell



10.
! Nd2Ge3Ir4Rh, optimized geometry, DFT PBE-GGA; values from VASP
&SYSTEM
  ibrav = 0, nat = 10, ntyp = 4
/
ATOMIC_SPECIES
Nd 144.24 Nd.upf
Ge 72.64 Ge.upf
Ir 192.22 Ir.upf
Rh 102.91 Rh.upf
CELL_PARAMETERS angstrom
4.228 0.000 0.000
0.000 4.228 0.000
0.000 0.000 10.439
ATOMIC_POSITIONS crystal
Nd 0.000 0.500 0.247
Nd 0.500 0.000 0.753
Ge 0.000 0.500 0.870
Ge 0.500 0.000 0.130
Ge 0.500 0.500 0.500
Ir 0.000 0.000 0.000
Ir 0.000 0.500 0.635
Ir 0.500 0.000 0.365
Ir 0.500 0.500 0.000
Rh 0.000 0.000 0.500
! * V: 187 Å³ per cell
! * crystal system: tetragonal
! * formation enthalpy at 0 K: -0.676 eV per atom
! * SG: P-4m2, No. 115
! * D(E_F): 0.5496 states/eV/atom
! * E: -72.9 eV per cell



11.
! Li5CdAg2Hg2, optimized geometry, DFT PBE-GGA; values from VASP
&SYSTEM
  ibrav = 0, nat = 20, ntyp = 4
/
ATOMIC_SPECIES
Li 6.94 Li.upf
Cd 112.41 Cd.upf
Ag 107.87 Ag.upf
Hg 200.59 Hg.upf
CELL_PARAMETERS angstrom
10.216 0.000 0.000
0.000 10.216 0.000
0.000 0.000 3.591
ATOMIC_POSITIONS crystal
Li 0.000 0.500 0.000
Li 0.134 0.163 0.000
Li 0.163 0.866 0.000
Li 0.337 0.366 0.000
Li 0.366 0.663 0.000
Li 0.500 0.000 0.000
Li 0.634 0.337 0.000
Li 0.663 0.634 0.000
Li 0.837 0.134 0.000
Li 0.866 0.837 0.000
Cd 0.000 0.000 0.500
Cd 0.500 0.500 0.500
Ag 0.139 0.361 0.500
Ag 0.361 0.861 0.500
Ag 0.639 0.139 0.500
Ag 0.861 0.639 0.500
Hg 0.152 0.652 0.500
Hg 0.348 0.152 0.500
Hg 0.652 0.848 0.500
Hg 0.848 0.348 0.500
! * V: 375 Å³ per cell
! * crystal system: tetragonal
! * formation enthalpy at 0 K: -0.175 eV per atom
! * SG: P4/mbm, No. 127
! * D(E_F): 0.2831 states/eV/atom
! * E: -37.1 eV per cell



12.
! CaY2BS, optimized geometry, DFT PBE-GGA; values from VASP
&SYSTEM
  ibrav = 0, nat = 5, ntyp = 4
/
ATOMIC_SPECIES
Ca 40.08 Ca.upf
Y 88.91 Y.upf
B 10.81 B.upf
S 32.06 S.upf
CELL_PARAMETERS angstrom
4.875 0.000 0.000
0.000 4.875 0.000
0.000 0.000 5.867
ATOMIC_POSITIONS crystal
Ca 0.000 0.000 0.000
Y 0.000 0.500 0.500
Y 0.500 0.000 0.500
B 0.500 0.500 0.500
S 0.500 0.500 0.000
! * V: 139 Å³ per cell
! * crystal system: tetragonal
! * SG: P4/mmm, No. 123
! * D(E_F): 1.4319 states/eV/atom
! * E: -24.8 eV per cell